A relaxed structure of LiCoTc2. Source: Alexandria, functional PBE-GGA.

Geometry as extended XYZ:
```
4
Lattice="1.328 0.767 8.954 -1.328 0.767 8.954 0.000 -1.534 8.954" Properties=species:S:1:pos:R:3 pbc="T T T"
Li 0.000 0.000 0.000
Co 0.000 0.000 13.431
Tc 0.000 0.000 6.524
Tc 0.000 0.000 20.338
```

Output
Energy above the most stable polymorph in this dataset   77 meV per atom
Density   7.949 Mg/m³

A relaxed structure of LiTaMo. Source: Alexandria, functional PBE-GGA.

Geometry as extended XYZ:
```
3
Lattice="4.666 0.000 0.000 -2.333 4.041 0.000 0.000 0.000 2.567" Properties=species:S:1:pos:R:3 pbc="T T T"
Li 0.000 0.000 0.000
Ta 0.000 2.694 1.757
Mo 2.333 1.347 0.696
```

Output
Energy above the most stable polymorph in this dataset   14 meV per atom
Density   9.739 Mg/m³

A relaxed structure of Ba3AsBrO. Source: Alexandria, functional PBE-GGA.

Geometry as extended XYZ:
```
12
Lattice="9.891 0.000 0.000 0.000 4.649 0.000 -1.752 0.000 10.441" Properties=species:S:1:pos:R:3 pbc="T T T"
Ba 0.130 1.162 3.697
Ba 1.621 1.162 10.211
Ba 2.596 3.487 7.011
Ba 5.542 1.162 3.430
Ba 6.517 3.487 0.230
Ba 8.009 3.487 6.743
As 0.363 1.162 6.914
As 7.776 3.487 3.527
Br 2.715 3.487 2.979
Br 5.424 1.162 7.462
O 2.551 3.487 9.442
O 5.587 1.162 0.999
```

Output
ΔE_f (raw)   -1.8303 eV/atom
Density   4.032 Mg/m³

A relaxed structure of Nb2SiC. Source: Alexandria, functional PBE-GGA.

Geometry as extended XYZ:
```
8
Lattice="-3.146 3.146 3.007 3.146 -3.146 3.007 3.146 3.146 -3.007" Properties=species:S:1:pos:R:3 pbc="T T T"
Nb 1.573 1.195 -0.752
Nb 1.951 -1.573 3.759
Nb 1.573 1.951 2.256
Nb 1.195 4.718 0.752
Si 3.146 0.000 1.504
Si 0.000 0.000 3.007
C 0.000 0.000 0.000
C 0.000 3.146 1.504
```

Output
ΔE_f (raw)   0.0391 eV/atom
Density   6.304 Mg/m³

A relaxed structure of Pm5Sm8Al. Source: Alexandria, functional PBE-GGA.

Geometry as extended XYZ:
```
14
Lattice="-5.310 5.310 4.207 5.310 -5.310 4.207 5.310 5.310 -4.207" Properties=species:S:1:pos:R:3 pbc="T T T"
Pm 0.000 0.000 0.000
Pm 5.338 3.272 -0.797
Pm 3.272 5.282 0.797
Pm -0.028 2.038 3.410
Pm 2.038 0.028 5.004
Sm 3.212 -2.202 2.110
Sm 7.513 -2.098 2.097
Sm 0.008 3.622 0.632
Sm 3.108 2.098 2.097
Sm 7.408 2.202 2.110
Sm -0.008 6.999 0.632
Sm -1.689 5.302 3.575
Sm 1.689 5.318 3.575
Al 5.310 0.000 2.104
```

Output
Density   6.841 Mg/m³

A relaxed structure of Sr2NbPdRu. Source: Alexandria, functional PBE-GGA.

Geometry as extended XYZ:
```
5
Lattice="5.789 0.000 0.000 0.000 5.789 0.000 0.000 0.000 4.744" Properties=species:S:1:pos:R:3 pbc="T T T"
Sr 0.000 2.895 0.000
Sr 2.895 0.000 0.000
Nb 0.000 0.000 0.000
Pd 0.000 0.000 2.372
Ru 2.895 2.895 2.372
```

Output
Density   4.967 Mg/m³

A relaxed structure of BaCrNi. Source: Alexandria, functional PBE-GGA.

Geometry as extended XYZ:
```
6
Lattice="2.179 -6.434 0.000 2.179 6.434 0.000 0.000 0.000 4.857" Properties=species:S:1:pos:R:3 pbc="T T T"
Ba 2.179 3.986 3.643
Ba 2.179 -3.986 1.214
Cr 2.179 0.000 0.000
Cr 2.179 0.000 2.429
Ni 2.179 5.963 1.214
Ni 2.179 -5.963 3.643
```

Output
Energy above the most stable polymorph in this dataset   205 meV per atom
Density   6.048 Mg/m³

A relaxed structure of KSr2Br2. Source: Alexandria, functional PBE-GGA.

Geometry as extended XYZ:
```
5
Lattice="-2.867 2.867 7.704 2.867 -2.867 7.704 2.867 2.867 -7.704" Properties=species:S:1:pos:R:3 pbc="T T T"
K 0.000 0.000 0.000
Sr 2.867 0.000 3.852
Sr 0.000 2.867 3.852
Br 0.000 0.000 5.160
Br 0.000 0.000 10.247
```

Output
Energy above the most stable polymorph in this dataset   209 meV per atom
ΔE_f (raw)   -0.9401 eV/atom
Density   2.452 Mg/m³

no.,total energy (eV/atom)
1,-7.1830
2,-7.9123
3,-4.6717
4,-8.6575
5,-4.5302
6,-4.1335
7,-5.3065
8,-2.5014